Computed, not measured: a relaxed YEr4Sc crystal at the PBE-GGA level of DFT.

```
data_YEr4Sc
_chemical_formula_sum 'Y4 Er16 Sc4'
_space_group_name_H-M_alt 'C 1 2/c 1'
_space_group_IT_number 15
_space_group_name_Hall '-C 2yc'
_cell_length_a 8.675
_cell_length_b 14.387
_cell_length_c 6.249
_cell_angle_alpha 90.00
_cell_angle_beta 110.21
_cell_angle_gamma 90.00
loop_
_atom_site_label
_atom_site_type_symbol
_atom_site_fract_x
_atom_site_fract_y
_atom_site_fract_z
Y1 Y 0.000 0.086 0.250
Er1 Er 0.096 0.307 0.537
Er2 Er 0.209 0.126 0.877
Sc1 Sc 0.000 0.500 0.250
```

The energy relative to the lowest polymorph listed for this composition comes out at 122 meV per atom. The energy of formation from the pure elements comes out at 0.135 eV/atom. The crystal system is monoclinic. The size of the total moment comes out at 0.00 μB per formula unit.

=====

Computed, not measured: a relaxed CeCu2Au9 crystal at the PBE-GGA level of DFT.

```
data_CeCu2Au9
_chemical_formula_sum 'Ce4 Cu8 Au36'
_space_group_name_H-M_alt 'I 41/a m d'
_space_group_IT_number 141
_cell_length_a 11.207
_cell_length_b 11.207
_cell_length_c 7.244
_cell_angle_alpha 90.00
_cell_angle_beta 90.00
_cell_angle_gamma 90.00
loop_
_space_group_symop_operation_xyz
'x,y,z'
'-x,-y,-z'
'-y+1/4,x+3/4,z+1/4'
'y+1/4,-x+3/4,-z+1/4'
'-x+1/2,-y,z+1/2'
'x+1/2,y,-z+1/2'
'y+1/4,-x+1/4,z+3/4'
'-y+1/4,x+1/4,-z+3/4'
'x,-y,-z'
'-x,y,z'
'-y+1/4,-x+1/4,-z+3/4'
'y+1/4,x+1/4,z+3/4'
'-x+1/2,y,-z+1/2'
'x+1/2,-y,z+1/2'
'y+1/4,x+3/4,-z+1/4'
'-y+1/4,-x+3/4,z+1/4'
'x+1/2,y+1/2,z+1/2'
'-x+1/2,-y+1/2,-z+1/2'
'-y+3/4,x+1/4,z+3/4'
'y+3/4,-x+1/4,-z+3/4'
'-x,-y+1/2,z'
'x,y+1/2,-z'
'y+3/4,-x+3/4,z+1/4'
'-y+3/4,x+3/4,-z+1/4'
'x+1/2,-y+1/2,-z+1/2'
'-x+1/2,y+1/2,z+1/2'
'-y+3/4,-x+3/4,-z+1/4'
'y+3/4,x+3/4,z+1/4'
'-x,y+1/2,-z'
'x,-y+1/2,z'
'y+3/4,x+1/4,-z+3/4'
'-y+3/4,-x+1/4,z+3/4'
loop_
_atom_site_label
_atom_site_type_symbol
_atom_site_fract_x
_atom_site_fract_y
_atom_site_fract_z
Ce1 Ce 0.000 0.250 0.375
Cu1 Cu 0.000 0.000 0.000
Au1 Au 0.000 0.250 0.875
Au2 Au 0.121 0.053 0.679
```

The energy of formation from the pure elements comes out at -0.184 eV/atom. The crystal system is tetragonal. The size of the total moment comes out at 1.19 μB per formula unit.

=====

What is the size of the total moment in the first record?
0.00 μB per formula unit

=====

Look up the energy of formation from the pure elements of the first one.
0.135 eV/atom

=====

Look up the size of the total moment of the first one.
0.00 μB per formula unit